## Ba3Ce2PaAs6 (PBE)

Data for a relaxed Ba3Ce2PaAs6 crystal.

Lattice parameters (Å, degrees): 7.6196 7.6196 7.8861 99.27 99.27 119.99
Fractional positions:
Ba 0.8311 0.1689 0.5000
Ba 0.5000 0.5000 0.5000
Ba 0.1689 0.8311 0.5000
Ce 0.6663 0.3337 0.0000
Ce 0.3337 0.6663 0.0000
As 0.2530 0.2530 0.7942
As 0.0681 0.3902 0.2048
As 0.6098 0.9319 0.7952
As 0.9319 0.6098 0.7952
As 0.3902 0.0681 0.2048
As 0.7470 0.7470 0.2058
Pa 0.0000 0.0000 0.0000

Summary:
V = 31.28 A^3/atom
size of the total moment = 1.03 μB per cell
total energy = -5.8168 eV per atom